<one>
LaPmHoAg, optimized geometry, DFT PBE-GGA; symmetry = P4mm
1.0
3.6911 0.0000 0.0000
0.0000 3.6911 0.0000
0.0000 0.0000 8.7577
La Pm Ho Ag
1 1 1 1
direct
0.0000 0.0000 0.0000
0.5000 0.5000 0.7026
0.5000 0.5000 0.2898
0.0000 0.0000 0.4815

***

<two>
LaPmHoAg, optimized geometry, DFT PBE-GGA; symmetry = F-43m
1.0
0.0000 3.8691 3.8691
3.8691 0.0000 3.8691
3.8691 3.8691 0.0000
La Pm Ho Ag
1 1 1 1
direct
0.0000 0.0000 0.0000
0.7500 0.7500 0.7500
0.5000 0.5000 0.5000
0.2500 0.2500 0.2500

***

It is <one> that is most stable; the runner-up trails by 216 meV/atom.

***

<one>
LaSmHoAg, optimized geometry, DFT PBE-GGA; symmetry = P4mm
1.0
3.6853 0.0000 0.0000
0.0000 3.6853 0.0000
0.0000 0.0000 8.7355
La Sm Ho Ag
1 1 1 1
direct
0.0000 0.0000 0.0000
0.5000 0.5000 0.7031
0.5000 0.5000 0.2911
0.0000 0.0000 0.4846

***

<two>
LaSmHoAg, optimized geometry, DFT PBE-GGA; symmetry = F-43m
1.0
0.0000 3.8922 3.8922
3.8922 0.0000 3.8922
3.8922 3.8922 0.0000
La Sm Ho Ag
1 1 1 1
direct
0.0000 0.0000 0.0000
0.5000 0.5000 0.5000
0.2500 0.2500 0.2500
0.7500 0.7500 0.7500

***

It is <one> that is most stable; the runner-up trails by 176 meV/atom.

***

<one>
LaHoTmAg, optimized geometry, DFT PBE-GGA; symmetry = F-43m
1.0
0.0000 3.8527 3.8527
3.8527 0.0000 3.8527
3.8527 3.8527 0.0000
La Ho Tm Ag
1 1 1 1
direct
0.0000 0.0000 0.0000
0.5000 0.5000 0.5000
0.2500 0.2500 0.2500
0.7500 0.7500 0.7500

***

<two>
LaHoTmAg, optimized geometry, DFT PBE-GGA; symmetry = P4mm
1.0
3.6293 0.0000 0.0000
0.0000 3.6293 0.0000
0.0000 0.0000 8.7158
La Ho Tm Ag
1 1 1 1
direct
0.0000 0.0000 0.0000
0.5000 0.5000 0.7020
0.5000 0.5000 0.2968
0.0000 0.0000 0.4950

***

It is <two> that is most stable; the runner-up trails by 184 meV/atom.

***

<one>
LaHoZnAg, optimized geometry, DFT PBE-GGA; symmetry = P4mm
1.0
3.6601 0.0000 0.0000
0.0000 3.6601 0.0000
0.0000 0.0000 7.4859
La Ho Zn Ag
1 1 1 1
direct
0.0000 0.0000 0.0000
0.0000 0.0000 0.5150
0.5000 0.5000 0.7357
0.5000 0.5000 0.2903

***

<two>
LaHoZnAg, optimized geometry, DFT PBE-GGA; symmetry = F-43m
1.0
0.0000 3.7015 3.7015
3.7015 0.0000 3.7015
3.7015 3.7015 0.0000
La Ho Zn Ag
1 1 1 1
direct
0.0000 0.0000 0.0000
0.5000 0.5000 0.5000
0.2500 0.2500 0.2500
0.7500 0.7500 0.7500

***

It is <one> that is most stable; the runner-up trails by 25 meV/atom.

***

<one>
LiHoAg, optimized geometry, DFT PBE-GGA; symmetry = P4/nmm
1.0
3.5661 0.0000 0.0000
0.0000 3.5661 0.0000
0.0000 0.0000 10.2381
Li Ho Ag
2 2 2
direct
0.2500 0.2500 0.0697
0.7500 0.7500 0.9303
0.2500 0.2500 0.3802
0.7500 0.7500 0.6198
0.2500 0.2500 0.7935
0.7500 0.7500 0.2065

***

<two>
LiHoAg, optimized geometry, DFT PBE-GGA; symmetry = P-6m2
1.0
4.6384 0.0000 0.0000
-2.3192 4.0169 0.0000
0.0000 0.0000 3.4856
Li Ho Ag
1 1 1
direct
0.0000 0.0000 0.0000
0.6667 0.3333 0.5000
0.3333 0.6667 0.0000

***

<three>
LiHoAg, optimized geometry, DFT PBE-GGA; symmetry = I4mm
1.0
-1.8143 1.8143 4.8565
1.8143 -1.8143 4.8565
1.8143 1.8143 -4.8565
Li Ho Ag
1 1 1
direct
0.0000 0.0000 0.0000
0.3059 0.3059 0.0000
0.6312 0.6312 0.0000

***

<four>
LiHoAg, optimized geometry, DFT PBE-GGA; symmetry = Amm2
1.0
4.2409 0.0000 0.0000
0.0000 6.3673 3.6832
0.0000 -6.3673 3.6832
Li Ho Ag
3 3 3
direct
0.0000 0.0000 0.0000
0.0000 0.2355 0.4718
0.0000 0.4718 0.2355
0.5000 0.2353 0.8171
0.5000 0.6544 0.6544
0.5000 0.8171 0.2353
0.0000 0.5687 0.9024
0.0000 0.9024 0.5687
0.5000 0.2364 0.2364

***

It is <four> that is most stable; the runner-up trails by 9 meV/atom.

***

<one>
LiHoAg6, optimized geometry, DFT PBE-GGA; symmetry = C2/m
1.0
4.2611 -2.8052 0.0000
4.2611 2.8052 0.0000
-1.9308 0.0000 7.1072
Li Ho Ag
1 1 6
direct
0.0000 0.0000 0.0000
0.5000 0.5000 0.5000
0.0170 0.5363 0.1923
0.1323 0.1323 0.4301
0.4637 0.9830 0.8077
0.5363 0.0170 0.1923
0.8677 0.8677 0.5699
0.9830 0.4637 0.8077

***

<two>
LiHoAg6, optimized geometry, DFT PBE-GGA; symmetry = C2/m
1.0
4.3437 -2.2707 0.0000
4.3437 2.2707 0.0000
-4.0947 0.0000 7.6678
Li Ho Ag
1 1 6
direct
0.0000 0.0000 0.0000
0.5000 0.5000 0.5000
0.1033 0.1033 0.3427
0.2569 0.2569 0.7434
0.3599 0.3599 0.1094
0.6401 0.6401 0.8906
0.7431 0.7431 0.2566
0.8967 0.8967 0.6573

***

It is <two> that is most stable; the runner-up trails by 147 meV/atom.

***

<one>
LiHoAg4, optimized geometry, DFT PBE-GGA; symmetry = Pmm2
1.0
3.2522 0.0000 0.0000
0.0000 4.5215 0.0000
0.0000 0.0000 8.0125
Li Ho Ag
1 1 4
direct
0.0000 0.0000 0.0000
0.0000 0.5000 0.5556
0.0000 0.5000 0.1953
0.5000 0.0000 0.3337
0.5000 0.0000 0.7023
0.5000 0.5000 0.9050

***

<two>
LiHoAg4, optimized geometry, DFT PBE-GGA; symmetry = C2/m
1.0
2.5843 -4.5032 0.0000
2.5843 4.5032 0.0000
-0.9603 0.0000 5.0314
Li Ho Ag
1 1 4
direct
0.0000 0.0000 0.0000
0.5000 0.5000 0.5000
0.1645 0.8355 0.5000
0.3244 0.6756 0.0000
0.6756 0.3244 0.0000
0.8355 0.1645 0.5000

***

<three>
LiHoAg4, optimized geometry, DFT PBE-GGA; symmetry = F-43m
1.0
0.0000 3.9341 3.9341
3.9341 0.0000 3.9341
3.9341 3.9341 0.0000
Li Ho Ag
1 1 4
direct
0.0000 0.0000 0.0000
0.2500 0.2500 0.2500
0.1238 0.6254 0.6254
0.6254 0.1238 0.6254
0.6254 0.6254 0.1238
0.6254 0.6254 0.6254

***

It is <two> that is most stable; the runner-up trails by 14 meV/atom.

***

<one>
Li2HoAg, optimized geometry, DFT PBE-GGA; symmetry = R-3m
1.0
1.5740 0.9088 10.3691
-1.5740 0.9088 10.3691
0.0000 -1.8175 10.3691
Li Ho Ag
2 1 1
direct
0.0986 0.0986 0.0986
0.9014 0.9014 0.9014
0.0000 0.0000 0.0000
0.5000 0.5000 0.5000

***

<two>
Li2HoAg, optimized geometry, DFT PBE-GGA; symmetry = R3m
1.0
2.3477 1.3554 4.4047
-2.3477 1.3554 4.4047
0.0000 -2.7108 4.4047
Li Ho Ag
2 1 1
direct
0.0000 0.0000 0.0000
0.2681 0.2681 0.2681
0.4936 0.4936 0.4936
0.7223 0.7223 0.7223

***

It is <two> that is most stable; the runner-up trails by 166 meV/atom.